1.
Nd4Co3Ru | PBE-GGA | relaxed

## Properties
Total DFT energy (no corrections) (eV for the cell shown): -50.35
DOS(E_F) (states/eV/f.u.): 8.41

The structure in CIF format:
```
data_Nd4Co3Ru
_chemical_formula_sum 'Nd4 Co3 Ru1'
_cell_length_a 4.0359
_cell_length_b 4.2120
_cell_length_c 10.6769
_cell_angle_alpha 90.00
_cell_angle_beta 90.00
_cell_angle_gamma 90.00
_space_group_name_H-M_alt 'P m m 2'
_space_group_IT_number 25
_space_group_name_Hall 'P 2 -2'
loop_
_atom_site_label
_atom_site_fract_x
_atom_site_fract_y
_atom_site_fract_z
Nd1 0.0000 0.0000 0.0000
Nd2 0.0000 0.5000 0.4956
Nd3 0.5000 0.0000 0.7089
Nd4 0.5000 0.5000 0.2097
Co1 0.0000 0.0000 0.3015
Co2 0.5000 0.0000 0.4007
Co3 0.5000 0.5000 0.9159
Ru1 0.0000 0.5000 0.7970
```

2.
SbW3Au | PBE-GGA | relaxed

## Properties
Raw formation energy (eV/atom): 2.515
DOS(E_F) (states/eV/f.u.): 7.03

The structure in CIF format:
```
data_SbW3Au
_chemical_formula_sum 'Sb1 W3 Au1'
_cell_length_a 4.8881
_cell_length_b 4.8881
_cell_length_c 4.8881
_cell_angle_alpha 90.00
_cell_angle_beta 90.00
_cell_angle_gamma 90.00
_space_group_name_H-M_alt 'P m -3 m'
_space_group_IT_number 221
_space_group_name_Hall '-P 4 2 3'
loop_
_atom_site_label
_atom_site_fract_x
_atom_site_fract_y
_atom_site_fract_z
Sb1 0.0000 0.0000 0.0000
W1 0.0000 0.5000 0.5000
Au1 0.5000 0.5000 0.5000
```

3.
Mg3AgPd12 | PBE-GGA | relaxed

## Properties
Total DFT energy (no corrections) (eV for the cell shown): -75.62
DOS(E_F) (states/eV/f.u.): 21.87

The structure in CIF format:
```
data_Mg3AgPd12
_chemical_formula_sum 'Mg3 Ag1 Pd12'
_cell_length_a 3.9791
_cell_length_b 3.9791
_cell_length_c 15.8760
_cell_angle_alpha 90.00
_cell_angle_beta 90.00
_cell_angle_gamma 90.00
_space_group_name_H-M_alt 'P 4/m m m'
_space_group_IT_number 123
_space_group_name_Hall '-P 4 2'
loop_
_atom_site_label
_atom_site_fract_x
_atom_site_fract_y
_atom_site_fract_z
Mg1 0.0000 0.0000 0.0000
Mg2 0.0000 0.0000 0.2484
Ag1 0.0000 0.0000 0.5000
Pd1 0.0000 0.5000 0.1244
Pd2 0.0000 0.5000 0.3726
Pd3 0.5000 0.5000 0.0000
Pd4 0.5000 0.5000 0.2485
Pd5 0.5000 0.5000 0.5000
```

4.
LaHfAs2Br | PBE-GGA | relaxed

## Properties
Raw formation energy (eV/atom): -0.786
DOS(E_F) (states/eV/f.u.): 2.14

The structure in CIF format:
```
data_LaHfAs2Br
_chemical_formula_sum 'La1 Hf1 As2 Br1'
_cell_length_a 5.1927
_cell_length_b 5.1927
_cell_length_c 5.0573
_cell_angle_alpha 90.00
_cell_angle_beta 90.00
_cell_angle_gamma 90.00
_space_group_name_H-M_alt 'P 4/m m m'
_space_group_IT_number 123
_space_group_name_Hall '-P 4 2'
loop_
_atom_site_label
_atom_site_fract_x
_atom_site_fract_y
_atom_site_fract_z
La1 0.0000 0.0000 0.0000
Hf1 0.5000 0.5000 0.5000
As1 0.0000 0.5000 0.5000
Br1 0.5000 0.5000 0.0000
```